#one
The following is a DFT calculation (GGA-PBE) of a geometry-optimized Ho2ErTh3 structure.

Cell and atoms, written as POSCAR:
```
Ho2ErTh3
1.0
-4.301 5.113 0.484
0.640 1.593 -11.129
-4.213 -4.007 4.881
Ho Er Th
4 2 6
Cartesian
-4.351 3.194 -2.872 Ho
-3.523 -0.496 -2.892 Ho
-1.906 1.370 -8.229 Ho
-5.968 1.329 2.465 Ho
-0.928 1.644 -2.434 Er
-2.733 5.062 -8.210 Er
-1.297 -1.069 -0.228 Th
-4.426 1.212 -5.778 Th
0.320 0.796 -5.564 Th
-1.831 3.353 -5.322 Th
-2.276 -1.344 -6.020 Th
-3.447 1.487 0.015 Th
```

Calculated values
- DOS at the Fermi energy: 14.55 states/eV/cell
- Symmetry: Cmcm, No. 63

#two
The following is a DFT calculation (GGA-PBE) of a geometry-optimized Ho2ErTh3 structure.

Cell and atoms, written as POSCAR:
```
Ho2ErTh3
1.0
-1.002 -1.691 2.738
9.675 -6.576 -0.522
-1.911 7.469 1.840
Ho Er Th
2 1 3
Cartesian
3.522 -0.260 3.203 Ho
8.055 -3.810 0.593 Ho
1.911 -2.485 1.239 Er
9.668 -6.571 -0.522 Th
1.603 2.234 1.966 Th
5.131 -3.012 2.091 Th
```

Calculated values
- DOS at the Fermi energy: 9.69 states/eV/cell
- Symmetry: Imm2, No. 44

Out of the structures above, which one is the least stable? Solution: #two.